No. 1
A plane-wave DFT calculation with GGA-PBE was carried out for KCrRu2 after structural relaxation.

POSCAR file:
```
KCrRu2
1.0
5.563 -0.289 0.263
-2.515 4.970 0.263
0.429 0.660 2.622
Cr K Ru
1 1 2
direct
0.500 0.000 0.500
0.000 0.500 0.500
0.000 0.000 0.000
0.500 0.500 0.000
```

ρ   7101 kg/m3
DFT formation energy   1.30 eV/atom
Offset from the most stable computed form   626 meV/atom

No. 2
A plane-wave DFT calculation with GGA-PBE was carried out for KCr2Ru after structural relaxation.

POSCAR file:
```
KCr2Ru
1.0
-2.166 2.365 2.019
0.853 -1.249 2.379
5.779 4.775 0.606
Cr K Ru
2 1 1
direct
0.000 0.243 0.883
0.000 0.257 0.617
0.500 0.250 0.250
0.500 0.750 0.750
```

ρ   5048 kg/m3
DFT formation energy   0.79 eV/atom
Offset from the most stable computed form   69 meV/atom

No. 3
A plane-wave DFT calculation with GGA-PBE was carried out for KCrRu2 after structural relaxation.

POSCAR file:
```
KCrRu2
1.0
5.121 0.000 0.000
0.000 5.121 0.000
2.561 2.561 7.593
Ru K Cr
4 2 2
direct
0.875 0.125 0.250
0.875 0.625 0.250
0.375 0.125 0.750
0.875 0.125 0.750
0.500 0.500 0.000
0.250 0.750 0.500
0.000 0.000 0.000
0.750 0.250 0.500
```

ρ   4890 kg/m3
DFT formation energy   1.43 eV/atom
Offset from the most stable computed form   754 meV/atom

No. 4
A plane-wave DFT calculation with GGA-PBE was carried out for KCrRu2 after structural relaxation.

POSCAR file:
```
KCrRu2
1.0
2.866 0.000 0.000
0.000 4.873 0.000
0.000 0.000 4.948
Cr K Ru
1 1 2
direct
0.500 0.000 0.500
0.000 0.500 0.500
0.000 0.000 0.000
0.500 0.500 0.000
```

ρ   7046 kg/m3
DFT formation energy   1.33 eV/atom
Offset from the most stable computed form   647 meV/atom

No. 5
A plane-wave DFT calculation with GGA-PBE was carried out for KCr2Ru after structural relaxation.

POSCAR file:
```
KCr2Ru
1.0
-1.509 0.539 -2.149
1.579 -2.138 -0.346
-7.239 -5.928 3.598
Cr K Ru
2 1 1
direct
0.000 0.000 0.950
0.000 0.000 0.550
0.500 0.500 0.250
0.500 0.500 0.750
```

ρ   6111 kg/m3
DFT formation energy   1.07 eV/atom
Offset from the most stable computed form   356 meV/atom

No. 6
A plane-wave DFT calculation with GGA-PBE was carried out for KCrRu2 after structural relaxation.

POSCAR file:
```
KCrRu2
1.0
3.746 0.000 0.000
0.000 2.799 0.168
0.000 2.318 7.991
Cr K Ru
1 1 2
direct
0.000 0.595 0.406
0.500 0.740 0.760
0.000 0.904 0.095
0.500 0.260 0.239
```

ρ   5916 kg/m3
DFT formation energy   0.77 eV/atom
Offset from the most stable computed form   89 meV/atom

No. 7
A plane-wave DFT calculation with GGA-PBE was carried out for KCrRu2 after structural relaxation.

POSCAR file:
```
KCrRu2
1.0
4.632 -0.011 -0.185
3.771 2.689 -0.185
0.951 0.303 6.930
Cr K Ru
1 1 2
direct
0.475 0.475 0.607
0.250 0.250 0.244
0.019 0.019 0.881
0.755 0.755 0.768
```

ρ   5588 kg/m3
DFT formation energy   0.83 eV/atom
Offset from the most stable computed form   149 meV/atom

No. 8
A plane-wave DFT calculation with GGA-PBE was carried out for KCrRu2 after structural relaxation.

POSCAR file:
```
KCrRu2
1.0
2.876 0.000 0.000
0.000 4.873 0.000
0.000 0.000 4.873
Cr K Ru
1 1 2
direct
0.500 0.500 0.000
0.500 0.000 0.500
0.000 0.000 0.000
0.000 0.500 0.500
```

ρ   7128 kg/m3
DFT formation energy   1.43 eV/atom
Offset from the most stable computed form   756 meV/atom

No. 9
A plane-wave DFT calculation with GGA-PBE was carried out for KCr2Ru after structural relaxation.

POSCAR file:
```
KCr2Ru
1.0
9.663 -0.009 -0.005
9.247 2.807 -0.005
9.247 1.368 2.451
Cr K Ru
2 1 1
direct
0.996 0.996 0.996
0.274 0.274 0.274
0.499 0.499 0.499
0.731 0.731 0.731
```

ρ   6067 kg/m3
DFT formation energy   0.85 eV/atom
Offset from the most stable computed form   130 meV/atom

No. 10
A plane-wave DFT calculation with GGA-PBE was carried out for KCr2Ru after structural relaxation.

POSCAR file:
```
KCr2Ru
1.0
-1.889 1.006 5.333
-3.627 -3.896 2.166
5.204 1.479 -1.938
Cr K Ru
2 1 1
direct
0.018 0.018 0.000
0.794 0.294 0.500
0.490 0.490 0.000
0.199 0.699 0.500
```

ρ   5363 kg/m3
DFT formation energy   1.25 eV/atom
Offset from the most stable computed form   534 meV/atom

No. 11
A plane-wave DFT calculation with GGA-PBE was carried out for KCrRuS3 after structural relaxation.

POSCAR file:
```
KCrRuS3
1.0
-2.014 2.884 -0.693
-6.685 -4.287 1.592
3.595 4.314 7.500
K Cr Ru S
2 2 2 6
direct
0.250 0.232 0.246
0.750 0.768 0.754
0.250 0.683 0.150
0.750 0.317 0.850
0.250 0.089 0.613
0.750 0.911 0.387
0.750 0.871 0.129
0.250 0.129 0.871
0.250 0.777 0.445
0.750 0.223 0.555
0.750 0.472 0.129
0.250 0.528 0.871
```

ρ   3846 kg/m3
Formation energy without anion corrections   -400.3 kJ/mol of formula units

No. 12
A plane-wave DFT calculation with GGA-PBE was carried out for KCrRu2S after structural relaxation.

POSCAR file:
```
KCrRu2S
1.0
-2.145 2.986 -2.349
-3.207 0.897 4.067
2.711 3.092 1.455
Ru K S Cr
2 1 1 1
direct
0.000 0.000 0.500
0.500 0.000 0.000
0.000 0.500 0.000
0.000 0.000 0.000
0.500 0.500 0.500
```

ρ   5400 kg/m3
Formation energy without anion corrections   608.1 kJ/mol of formula units